[1]
This record from Alexandria via LeMat-Bulk describes an optimized crystal structure of Y2Er. The functional is PBE.

Cell lengths 4.1532, 4.1532, 6.3093 Å; angles 109.28, 109.28, 90.06 degrees
Last column: nearest neighbours and their distance in Å.
Positions (direct):
Y 0.1648 0.1648 0.3295  5 Er 3.46-3.74, 5 Y 3.49-3.68
Y 0.8352 0.8352 0.6705  5 Er 3.46-3.74, 5 Y 3.49-3.68
Er 0.5000 0.5000 0.0000  10 Y 3.46-3.74

Computed properties:
- Energy above the lowest structure with this stoichiometry: 0.119 eV/atom
- SG: C2/m, No. 12
- Magnetization: 0.0 μB per formula unit
- Energy of formation from the pure elements: 0.12 eV per atom


[2]
This record from Alexandria via LeMat-Bulk describes an optimized crystal structure of Ca4PtAu. The functional is PBE.

Cell lengths 6.0474, 6.0474, 6.0474 Å; angles 60.00, 60.00, 60.00 degrees
Last column: nearest neighbours and their distance in Å.
Positions (direct):
Ca 0.8735 0.3755 0.3755  6 Ca 3.01-3.04
Ca 0.3755 0.3755 0.8735  6 Ca 3.01-3.04
Ca 0.3755 0.8735 0.3755  6 Ca 3.01-3.04
Ca 0.3755 0.3755 0.3755  6 Ca 3.01-3.04
Pt 0.7500 0.7500 0.7500  12 Ca 3.54, 4 Au 3.70
Au 0.0000 0.0000 0.0000  12 Ca 3.55, 4 Pt 3.70

Computed properties:
- Energy above the lowest structure with this stoichiometry: 1.018 eV/atom
- SG: F-43m, No. 216
- Magnetization: 0.0 μB per formula unit
- Energy of formation from the pure elements: 0.33 eV per atom


[3]
This record from Alexandria via LeMat-Bulk describes an optimized crystal structure of ZnFeCu4Ge2S8. The functional is PBE.

Cell lengths 6.5203, 6.5203, 7.5383 Å; angles 90.00, 90.00, 109.42 degrees
Last column: nearest neighbours and their distance in Å.
Positions (direct):
Zn 0.5002 0.4998 0.5000  4 S 2.37
Fe 0.9992 0.0008 0.0000  4 S 2.30
Cu 0.5019 0.0017 0.2482  4 S 2.29-2.30
Cu 0.9983 0.4981 0.7518  4 S 2.29-2.30
Cu 0.9983 0.4981 0.2482  4 S 2.29-2.30
Cu 0.5019 0.0017 0.7518  4 S 2.29-2.30
Ge 0.9979 0.0021 0.5000  4 S 2.30-2.31
Ge 0.5021 0.4979 0.0000  4 S 2.29
S 0.8741 0.1259 0.7515  2 Cu 2.29, 1 Fe 2.30, 1 Ge 2.31
S 0.3727 0.6273 0.2423  1 Ge 2.29, 2 Cu 2.30, 1 Zn 2.37
S 0.8741 0.1259 0.2485  2 Cu 2.29, 1 Fe 2.30, 1 Ge 2.31
S 0.3727 0.6273 0.7577  1 Ge 2.29, 2 Cu 2.30, 1 Zn 2.37
S 0.8752 0.6262 0.0000  1 Ge 2.29, 2 Cu 2.30, 1 Fe 2.30
S 0.3717 0.1143 0.5000  2 Cu 2.30, 1 Ge 2.30, 1 Zn 2.37
S 0.3738 0.1248 0.0000  1 Ge 2.29, 2 Cu 2.30, 1 Fe 2.30
S 0.8857 0.6283 0.5000  2 Cu 2.30, 1 Ge 2.30, 1 Zn 2.37

Computed properties:
- Raw formation energy: -392.0 meV/atom
- SG: Amm2, No. 38
- Magnetization: 4.0 μB per formula unit


[4]
This record from Alexandria via LeMat-Bulk describes an optimized crystal structure of NbTlPb2. The functional is PBE.

Cell lengths 5.2968, 5.2968, 5.2968 Å; angles 60.00, 60.00, 60.00 degrees
Last column: nearest neighbours and their distance in Å.
Positions (direct):
Pb 0.2500 0.2500 0.2500  4 Tl 3.24, 4 Nb 3.24
Pb 0.7500 0.7500 0.7500  4 Tl 3.24, 4 Nb 3.24
Tl 0.5000 0.5000 0.5000  8 Pb 3.24
Nb 0.0000 0.0000 0.0000  8 Pb 3.24

Computed properties:
- Energy above the lowest structure with this stoichiometry: 0.128 eV/atom
- SG: Fm-3m, No. 225
- Magnetization: 0.0 μB per formula unit
- Energy of formation from the pure elements: 0.68 eV per atom


[5]
This record from Alexandria via LeMat-Bulk describes an optimized crystal structure of NaSiGe3. The functional is PBE.

Cell lengths 7.3295, 7.3295, 10.0542 Å; angles 100.84, 100.84, 112.67 degrees
Last column: nearest neighbours and their distance in Å.
Positions (direct):
Na 0.1252 0.8748 0.2500  4 Ge 3.01-3.02, 2 Si 3.11
Na 0.8748 0.1252 0.7500  4 Ge 3.01-3.02, 2 Si 3.11
Na 0.6303 0.3697 0.2500  8 Ge 3.12-3.37
Na 0.3697 0.6303 0.7500  8 Ge 3.12-3.37
Si 0.7915 0.5118 0.7574  1 Si 2.42, 3 Ge 2.47-2.58
Si 0.4882 0.2085 0.7426  1 Si 2.42, 3 Ge 2.47-2.58
Si 0.2085 0.4882 0.2426  1 Si 2.42, 3 Ge 2.47-2.58
Si 0.5118 0.7915 0.2574  1 Si 2.42, 3 Ge 2.47-2.58
Ge 0.0531 0.8854 0.9006  2 Ge 2.56-2.78, 1 Si 2.58
Ge 0.1146 0.9469 0.5994  2 Ge 2.56-2.78, 1 Si 2.58
Ge 0.9469 0.1146 0.0994  2 Ge 2.56-2.78, 1 Si 2.58
Ge 0.8854 0.0531 0.4006  2 Ge 2.56-2.78, 1 Si 2.58
Ge 0.8768 0.3762 0.5447  3 Ge 2.46-2.70, 1 Si 2.48
Ge 0.6238 0.1232 0.9553  3 Ge 2.46-2.70, 1 Si 2.48
Ge 0.1232 0.6238 0.4553  3 Ge 2.46-2.70, 1 Si 2.48
Ge 0.3762 0.8768 0.0447  3 Ge 2.46-2.70, 1 Si 2.48
Ge 0.6274 0.6872 0.0522  1 Si 2.47, 2 Ge 2.52-2.70
Ge 0.3128 0.3726 0.4478  1 Si 2.47, 2 Ge 2.52-2.70
Ge 0.3726 0.3128 0.9478  1 Si 2.47, 2 Ge 2.52-2.70
Ge 0.6872 0.6274 0.5522  1 Si 2.47, 2 Ge 2.52-2.70

Computed properties:
- Raw formation energy: 209.4 meV/atom
- Energy above the lowest structure with this stoichiometry: 0.000 eV/atom
- SG: C2/c, No. 15
- Magnetization: 0.0 μB per formula unit


[6]
This record from Alexandria via LeMat-Bulk describes an optimized crystal structure of TaNbBr3. The functional is PBE.

Cell lengths 5.2975, 5.2975, 5.2975 Å; angles 90.00, 90.00, 90.00 degrees
Last column: nearest neighbours and their distance in Å.
Positions (direct):
Nb 0.0000 0.0000 0.0000  6 Br 2.65
Br 0.0000 0.5000 0.0000  2 Nb 2.65
Br 0.0000 0.0000 0.5000  2 Nb 2.65
Br 0.5000 0.0000 0.0000  2 Nb 2.65
Ta 0.5000 0.5000 0.5000  12 Br 3.75

Computed properties:
- Raw formation energy: 978.8 meV/atom
- Energy above the lowest structure with this stoichiometry: 0.113 eV/atom
- SG: Pm-3m, No. 221
- Magnetization: 6.8 μB per formula unit


[7]
This record from Alexandria via LeMat-Bulk describes an optimized crystal structure of Sr2LiCdAg. The functional is PBE.

Cell lengths 6.1112, 6.1112, 4.8692 Å; angles 90.00, 90.00, 90.00 degrees
Last column: nearest neighbours and their distance in Å.
Positions (direct):
Sr 0.0000 0.5000 0.0000  2 Ag 3.06
Sr 0.5000 0.0000 0.0000  2 Ag 3.06
Li 0.0000 0.0000 0.5000  2 Ag 2.43
Ag 0.0000 0.0000 0.0000  2 Li 2.43
Cd 0.5000 0.5000 0.5000  8 Sr 3.91, 4 Li 4.32

Computed properties:
- SG: P4/mmm, No. 123
- Magnetization: 0.0 μB per formula unit
- Energy of formation from the pure elements: -0.07 eV per atom


[8]
This record from Alexandria via LeMat-Bulk describes an optimized crystal structure of TbDyPu2Se4. The functional is PBE.

Cell lengths 4.0968, 7.0908, 7.1796 Å; angles 109.25, 90.00, 90.00 degrees
Last column: nearest neighbours and their distance in Å.
Positions (direct):
Tb 0.0000 0.0000 0.0000  6 Se 2.89
Dy 0.5000 0.5000 0.0000  6 Se 2.89
Pu 0.5000 0.0000 0.5000  6 Se 2.93
Pu 0.0000 0.5000 0.5000  6 Se 2.92
Se 0.5000 0.2495 0.2458  1 Dy 2.89, 2 Tb 2.89, 3 Pu 2.92-2.93
Se 0.5000 0.7505 0.7542  1 Dy 2.89, 2 Tb 2.89, 3 Pu 2.92-2.93
Se 0.0000 0.2525 0.7549  2 Dy 2.89, 1 Tb 2.89, 3 Pu 2.92-2.93
Se 0.0000 0.7475 0.2451  2 Dy 2.89, 1 Tb 2.89, 3 Pu 2.92-2.93

Computed properties:
- Raw formation energy: -1674.3 meV/atom
- SG: P2/m, No. 10
- Magnetization: 11.7 μB per formula unit